Co8Ni6Rh | the Alexandria database | PBE | relaxed; DFT formation energy = 0.22 eV/atom; ρ = 8.5 g/cm³
1.0
-0.588 -2.865 -3.863
6.532 -0.523 -0.607
-3.316 -4.312 3.704
Co Ni Rh
8 6 1
Cartesian
5.063 -4.215 -2.807
1.778 -5.857 -1.089
1.407 -2.587 -3.458
-2.436 -3.485 2.041
0.850 -1.843 0.323
1.221 -5.113 2.692
-0.034 -3.051 2.264
2.661 -4.649 -3.030
0.418 -6.527 0.777
-2.478 -4.608 -0.206
0.798 -3.671 -1.399
2.210 -1.173 -1.543
5.105 -3.093 -0.560
1.829 -4.029 0.633
-0.294 -1.433 -1.931

CoNiRh | the Alexandria database | PBE | relaxed; energy above the lowest structure with this stoichiometry = 0.000 eV/atom; DFT formation energy = 0.04 eV/atom; ρ = 9.9 g/cm³
1.0
-3.764 -2.376 -0.549
-0.383 -2.875 -3.421
2.343 1.158 3.645
Ni Rh Co
1 1 1
Cartesian
-1.396 -1.767 -1.336
-2.761 -3.496 -2.644
-4.137 -5.238 -3.961